Compound: In3ReNi
Source: the Alexandria database
Functional: PBE
Structure: optimized geometry

- symmetry = Pm-3m, No. 221
- energy of formation from the pure elements (eV/f.u.) = 4.837
- E above lowest polymorph (meV per atom) = 0
- uncorrected energy (eV/cell) = -21.61

Unit cell a=4.8516 b=4.8516 c=4.8516 alpha=90.00 beta=90.00 gamma=90.00
Fractional coordinates of all 5 atoms:
In: 0.0000 0.0000 0.5000
In: 0.0000 0.5000 0.0000
In: 0.5000 0.0000 0.0000
Re: 0.5000 0.5000 0.5000
Ni: 0.0000 0.0000 0.0000

---

Compound: SrTiIn3
Source: the Alexandria database
Functional: PBE
Structure: optimized geometry

- symmetry = Pm-3m, No. 221
- energy of formation from the pure elements (eV/f.u.) = -0.124
- E above lowest polymorph (meV per atom) = 0
- uncorrected energy (eV/cell) = -17.92

Unit cell a=5.3591 b=5.3591 c=5.3591 alpha=90.00 beta=90.00 gamma=90.00
Fractional coordinates of all 5 atoms:
Sr: 0.0000 0.0000 0.0000
Ti: 0.5000 0.5000 0.5000
In: 0.0000 0.5000 0.5000
In: 0.5000 0.0000 0.5000
In: 0.5000 0.5000 0.0000

---

Compound: MoRuW2
Source: the Alexandria database
Functional: PBE
Structure: optimized geometry

- symmetry = F-43m, No. 216
- energy of formation from the pure elements (eV/f.u.) = 0.726
- E above lowest polymorph (meV per atom) = 69
- uncorrected energy (eV/cell) = -45.29

Unit cell a=4.4548 b=4.4548 c=4.4548 alpha=60.00 beta=60.00 gamma=60.00
Fractional coordinates of all 4 atoms:
Mo: 0.0000 0.0000 0.0000
Ru: 0.2500 0.2500 0.2500
W: 0.5000 0.5000 0.5000
W: 0.7500 0.7500 0.7500

---

Compound: La2GeSb
Source: the Alexandria database
Functional: PBE
Structure: optimized geometry

- symmetry = R-3m, No. 166
- E above lowest polymorph (meV per atom) = 70
- uncorrected energy (eV/cell) = -22.34

Unit cell a=7.9709 b=7.9709 c=7.9709 alpha=32.58 beta=32.58 gamma=32.58
Fractional coordinates of all 4 atoms:
La: 0.2463 0.2463 0.2463
La: 0.7537 0.7537 0.7537
Ge: 0.5000 0.5000 0.5000
Sb: 0.0000 0.0000 0.0000

---

Compound: SeS2Cl6
Source: the Alexandria database
Functional: PBE
Structure: optimized geometry

- symmetry = P-1, No. 2
- uncorrected energy (eV/cell) = -24.00

Unit cell a=3.9399 b=8.0254 c=9.4307 alpha=102.76 beta=101.76 gamma=103.16
Fractional coordinates of all 9 atoms:
Se: 0.0000 0.0000 0.0000
S: 0.0714 0.5473 0.6166
S: 0.9286 0.4527 0.3834
Cl: 0.0171 0.6906 0.3386
Cl: 0.1540 0.0486 0.2675
Cl: 0.2879 0.7682 0.9758
Cl: 0.7121 0.2318 0.0242
Cl: 0.8460 0.9514 0.7325
Cl: 0.9829 0.3094 0.6614

---

Compound: NaNbHg
Source: the Alexandria database
Functional: PBE
Structure: optimized geometry

- symmetry = P-1, No. 2
- energy of formation from the pure elements (eV/f.u.) = 0.675
- E above lowest polymorph (meV per atom) = 124
- uncorrected energy (eV/cell) = -22.03

Unit cell a=3.0067 b=5.3711 c=8.8411 alpha=73.30 beta=89.89 gamma=77.02
Fractional coordinates of all 6 atoms:
Na: 0.1297 0.1893 0.1148
Na: 0.8703 0.8107 0.8852
Nb: 0.1039 0.2108 0.5126
Nb: 0.8961 0.7892 0.4874
Hg: 0.4684 0.6017 0.2403
Hg: 0.5316 0.3983 0.7597

---

Compound: AlSb2Pt
Source: the Alexandria database
Functional: PBE
Structure: optimized geometry

- symmetry = Cmmm, No. 65
- uncorrected energy (eV/cell) = -19.00

Unit cell a=5.5725 b=5.5725 c=4.1908 alpha=90.00 beta=90.00 gamma=127.20
Fractional coordinates of all 4 atoms:
Al: 0.0000 0.0000 0.0000
Sb: 0.3281 0.6719 0.5000
Sb: 0.6719 0.3281 0.5000
Pt: 0.5000 0.5000 0.0000

---

Compound: NbInSn2
Source: the Alexandria database
Functional: PBE
Structure: optimized geometry

- symmetry = I-42d, No. 122
- energy of formation from the pure elements (eV/f.u.) = 2.947
- uncorrected energy (eV/cell) = -35.73

Unit cell a=7.8895 b=7.8895 c=7.8895 alpha=130.44 beta=130.44 gamma=72.71
Fractional coordinates of all 8 atoms:
Nb: 0.0000 0.0000 0.0000
Nb: 0.7500 0.2500 0.5000
In: 0.2500 0.7500 0.5000
In: 0.5000 0.5000 0.0000
Sn: 0.1011 0.6250 0.9761
Sn: 0.3750 0.3511 0.4761
Sn: 0.6489 0.1250 0.0239
Sn: 0.8750 0.8989 0.5239

---

Compound: IrOsF2
Source: the Alexandria database
Functional: PBE
Structure: optimized geometry

- symmetry = Fm-3m, No. 225
- E above lowest polymorph (meV per atom) = 1170
- uncorrected energy (eV/cell) = -19.65

Unit cell a=4.1787 b=4.1787 c=4.1787 alpha=60.00 beta=60.00 gamma=60.00
Fractional coordinates of all 4 atoms:
Ir: 0.0000 0.0000 0.0000
Os: 0.5000 0.5000 0.5000
F: 0.2500 0.2500 0.2500
F: 0.7500 0.7500 0.7500

---

Compound: HgP2OsI
Source: the Alexandria database
Functional: PBE
Structure: optimized geometry

- symmetry = P4/mmm, No. 123
- uncorrected energy (eV/cell) = -12.49

Unit cell a=4.7916 b=4.7916 c=5.6744 alpha=90.00 beta=90.00 gamma=90.00
Fractional coordinates of all 5 atoms:
Hg: 0.0000 0.0000 0.0000
P: 0.0000 0.5000 0.0000
P: 0.5000 0.0000 0.0000
Os: 0.5000 0.5000 0.5000
I: 0.0000 0.0000 0.5000

---

Compound: TbPmCdAg
Source: the Alexandria database
Functional: PBE
Structure: optimized geometry

- symmetry = F-43m, No. 216
- energy of formation from the pure elements (eV/f.u.) = -1.163
- E above lowest polymorph (meV per atom) = 12
- uncorrected energy (eV/cell) = -14.31

Unit cell a=5.2942 b=5.2942 c=5.2942 alpha=60.00 beta=60.00 gamma=60.00
Fractional coordinates of all 4 atoms:
Tb: 0.0000 0.0000 0.0000
Pm: 0.5000 0.5000 0.5000
Cd: 0.2500 0.2500 0.2500
Ag: 0.7500 0.7500 0.7500

---

Compound: Rb4NaPb3Br12
Source: the Alexandria database
Functional: PBE
Structure: optimized geometry

- symmetry = Im-3m, No. 229
- uncorrected energy (eV/cell) = -60.95

Unit cell a=10.1513 b=10.1513 c=10.1513 alpha=109.47 beta=109.47 gamma=109.47
Fractional coordinates of all 20 atoms:
Rb: 0.0000 0.0000 0.5000
Rb: 0.0000 0.5000 0.0000
Rb: 0.5000 0.0000 0.0000
Rb: 0.5000 0.5000 0.5000
Na: 0.0000 0.0000 0.0000
Pb: 0.0000 0.5000 0.5000
Pb: 0.5000 0.0000 0.5000
Pb: 0.5000 0.5000 0.0000
Br: 0.0000 0.2510 0.2510
Br: 0.0000 0.7490 0.7490
Br: 0.2500 0.5000 0.7500
Br: 0.2500 0.7500 0.5000
Br: 0.2510 0.0000 0.2510
Br: 0.2510 0.2510 0.0000
Br: 0.5000 0.2500 0.7500
Br: 0.5000 0.7500 0.2500
Br: 0.7490 0.0000 0.7490
Br: 0.7490 0.7490 0.0000
Br: 0.7500 0.2500 0.5000
Br: 0.7500 0.5000 0.2500